DFT (PBE) results for a relaxed Pm2CuGe6 crystal.

a b c (Å): 4.0979 4.1553 11.0853
angles (deg): 90.00 100.65 90.00
Positions (direct):
Pm1 0.3307 0.0000 0.6614
Pm2 0.9962 0.0000 0.9923
Cu1 0.7744 0.5000 0.5487
Ge1 0.7154 0.0000 0.4309
Ge2 0.2151 0.5000 0.4302
Ge3 0.1001 0.5000 0.2002
Ge4 0.6008 0.0000 0.2015
Ge5 0.4534 0.5000 0.9069
Ge6 0.8829 0.5000 0.7659

**D(E_F)**: 0.24 states/eV/atom
**Crystal system**: orthorhombic
**Total magnetic moment**: 0.000 μB/atom
**Energy of formation from the pure elements**: -0.4510 eV per atom
**V**: 20.61 Å³ per atom